# NaCa2Al4H8C4ClO20, optimized geometry, DFT PBEsol
data_NaCa2Al4H8C4ClO20
_chemical_formula_sum 'Na2 Ca4 Al8 H16 C8 Cl2 O40'
_space_group_name_H-M_alt 'P 4/n m m'
_space_group_IT_number 129
_cell_length_a 11.2186
_cell_length_b 11.2186
_cell_length_c 6.5074
_cell_angle_alpha 90.00
_cell_angle_beta 90.00
_cell_angle_gamma 90.00
loop_
_space_group_symop_operation_xyz
'x,y,z'
'-x,-y,-z'
'-y+1/2,x,z'
'y+1/2,-x,-z'
'-x+1/2,-y+1/2,z'
'x+1/2,y+1/2,-z'
'y,-x+1/2,z'
'-y,x+1/2,-z'
'x+1/2,-y,-z'
'-x+1/2,y,z'
'-y,-x,-z'
'y,x,z'
'-x,y+1/2,-z'
'x,-y+1/2,z'
'y+1/2,x+1/2,-z'
'-y+1/2,-x+1/2,z'
loop_
_atom_site_label
_atom_site_type_symbol
_atom_site_fract_x
_atom_site_fract_y
_atom_site_fract_z
Na1 Na 0.2500 0.2500 0.0734
Ca1 Ca 0.0000 0.0000 0.0000
Al1 Al 0.0952 0.5952 0.5000
H1 H 0.0529 0.7500 0.7394
H2 H 0.1220 0.1220 0.4143
C1 C 0.0131 0.7500 0.1530
Cl1 Cl 0.2500 0.2500 0.5028
O1 O 0.0349 0.2500 0.0260
O2 O 0.0374 0.6494 0.2396
O3 O 0.0605 0.0605 0.3887
O4 O 0.0923 0.7500 0.6032
# Raw total energy ... -6.82 eV per atom
# N(E_F) ... 0.00 states/eV per atom


# CaB2Rh3, optimized geometry, DFT PBEsol
data_CaB2Rh3
_chemical_formula_sum 'Ca1 B2 Rh3'
_space_group_name_H-M_alt 'P 6/m m m'
_space_group_IT_number 191
_space_group_name_Hall '-P 6 2'
_cell_length_a 5.5308
_cell_length_b 5.5308
_cell_length_c 2.8942
_cell_angle_alpha 90.00
_cell_angle_beta 90.00
_cell_angle_gamma 120.00
loop_
_atom_site_label
_atom_site_type_symbol
_atom_site_fract_x
_atom_site_fract_y
_atom_site_fract_z
Ca1 Ca 0.0000 0.0000 0.0000
B1 B 0.3333 0.6667 0.0000
Rh1 Rh 0.0000 0.5000 0.5000
# Formation energy from the elements ... -0.6538 eV/atom
# Raw total energy ... -7.42 eV per atom
# N(E_F) ... 0.15 states/eV per atom